Entry 1:
VASP calculation (meta-GGA SCAN) on a crystal of Zr2ReHg relaxed with PBEsol.

```
Zr2ReHg
1.0
3.315 0.000 0.000
0.000 3.315 0.000
0.000 0.000 6.992
Zr Re Hg
2 1 1
direct
0.000 0.000 0.223
0.000 0.000 0.777
0.500 0.500 0.000
0.500 0.500 0.500
```

Results
Its space group is No. 123. Its formation energy is -0.424 eV per atom. For the magnetization, the calculation gives 0.00 μB per atom.


Entry 2:
VASP calculation (meta-GGA SCAN) on a crystal of MoRu relaxed with PBEsol.

```
MoRu
1.0
5.029 -1.364 0.000
5.029 1.364 0.000
-1.601 0.000 6.254
Mo Ru
3 3
direct
0.000 0.000 0.000
0.060 0.060 0.614
0.683 0.683 0.333
0.337 0.337 0.671
0.395 0.395 0.278
0.730 0.730 0.945
```

Results
Its space group is No. 8. Its formation energy is 0.092 eV per atom. For the magnetization, the calculation gives 0.00 μB per atom.


Entry 3:
VASP calculation (meta-GGA SCAN) on a crystal of MgRh2 relaxed with PBEsol.

```
MgRh2
1.0
0.000 3.606 3.606
3.606 0.000 3.606
3.606 3.606 0.000
Mg Rh
2 4
direct
0.125 0.125 0.125
0.875 0.875 0.875
0.000 0.500 0.500
0.500 0.000 0.500
0.500 0.500 0.000
0.500 0.500 0.500
```

Results
Its space group is No. 227. Its formation energy is -0.293 eV per atom. For the magnetization, the calculation gives 0.00 μB per atom.